<a>
This record from Alexandria via LeMat-Bulk describes crystalline Ba2Ag2P at its relaxed geometry. The functional is PBE-GGA.

- Size of the total moment: 0.000 μB/atom
- Theoretical density: 5.77 g cm⁻³

Cell and atoms, written as extended XYZ:
```
5
Lattice="-2.000 2.000 9.387 2.000 -2.000 9.387 2.000 2.000 -9.387" Properties=species:S:1:pos:R:3 pbc="T T T"
Ba 0.000 0.000 1.709
Ba 0.000 0.000 17.065
Ag 2.000 0.000 4.694
Ag 0.000 2.000 4.694
P 0.000 0.000 9.387
```



<b>
This record from Alexandria via LeMat-Bulk describes crystalline Ba2Ag2P at its relaxed geometry. The functional is PBE-GGA.

- Size of the total moment: 0.000 μB/atom
- Theoretical density: 5.83 g cm⁻³

Cell and atoms, written as extended XYZ:
```
10
Lattice="7.907 0.000 0.000 0.000 7.907 0.000 0.000 0.000 4.749" Properties=species:S:1:pos:R:3 pbc="T T T"
Ba 1.498 2.456 0.000
Ba 2.456 6.409 0.000
Ba 5.451 1.498 0.000
Ba 6.409 5.451 0.000
Ag 0.959 4.912 2.374
Ag 2.995 0.959 2.374
Ag 4.912 6.948 2.374
Ag 6.948 2.995 2.374
P 0.000 0.000 2.374
P 3.954 3.954 2.374
```



<a> wins, 210 meV per atom ahead of the next structure.



<a>
This record from Alexandria via LeMat-Bulk describes crystalline Ba4AgP at its relaxed geometry. The functional is PBE-GGA.

- Size of the total moment: 0.000 μB/atom
- Theoretical density: 4.66 g cm⁻³

Cell and atoms, written as extended XYZ:
```
6
Lattice="0.000 4.969 4.969 4.969 0.000 4.969 4.969 4.969 0.000" Properties=species:S:1:pos:R:3 pbc="T T T"
Ba 1.229 1.229 1.229
Ba 3.740 3.740 1.229
Ba 3.740 1.229 3.740
Ba 1.229 3.740 3.740
Ag 4.969 4.969 4.969
P 7.454 7.454 7.454
```



<b>
This record from Alexandria via LeMat-Bulk describes crystalline Ba4AgP at its relaxed geometry. The functional is PBE-GGA.

- Size of the total moment: 0.000 μB/atom
- Theoretical density: 4.52 g cm⁻³

Cell and atoms, written as extended XYZ:
```
6
Lattice="3.959 -3.959 0.000 3.959 3.959 0.000 -0.009 0.000 8.061" Properties=species:S:1:pos:R:3 pbc="T T T"
Ba 1.980 1.978 1.874
Ba 1.980 -1.978 1.874
Ba 5.928 1.978 6.187
Ba 5.928 -1.978 6.187
Ag -0.004 0.000 4.030
P 3.959 0.000 0.000
```



<b> wins, 887 meV per atom ahead of the next structure.



<a>
This record from Alexandria via LeMat-Bulk describes crystalline BaAgP2S at its relaxed geometry. The functional is PBE-GGA.

- Size of the total moment: 0.000 μB/atom
- Theoretical density: 4.55 g cm⁻³

Cell and atoms, written as extended XYZ:
```
5
Lattice="4.868 0.000 0.000 0.000 4.868 0.000 0.000 0.000 5.221" Properties=species:S:1:pos:R:3 pbc="T T T"
Ba 0.000 0.000 0.000
Ag 2.434 2.434 2.610
P 0.000 2.434 2.610
P 2.434 0.000 2.610
S 2.434 2.434 0.000
```



<b>
This record from Alexandria via LeMat-Bulk describes crystalline BaAgP2S at its relaxed geometry. The functional is PBE-GGA.

- Size of the total moment: 0.807 μB/atom
- Theoretical density: 2.65 g cm⁻³

Cell and atoms, written as extended XYZ:
```
5
Lattice="6.079 0.000 0.000 0.000 6.079 0.000 0.000 0.000 5.755" Properties=species:S:1:pos:R:3 pbc="T T T"
Ba 0.000 0.000 0.000
Ag 3.039 3.039 2.878
P 0.000 3.039 0.000
P 3.039 0.000 0.000
S 0.000 0.000 2.878
```



<a> wins, 1197 meV per atom ahead of the next structure.



<a>
This record from Alexandria via LeMat-Bulk describes crystalline BaAgPb4 at its relaxed geometry. The functional is PBE-GGA.

- Size of the total moment: 0.000 μB/atom
- Theoretical density: 9.43 g cm⁻³

Cell and atoms, written as extended XYZ:
```
12
Lattice="2.536 -9.692 0.000 2.536 9.692 0.000 0.000 0.000 7.698" Properties=species:S:1:pos:R:3 pbc="T T T"
Ba 2.536 7.319 5.774
Ba 2.536 -7.319 1.925
Ag 2.536 5.471 1.925
Ag 2.536 -5.471 5.774
Pb 2.536 8.412 1.925
Pb 2.536 3.533 4.197
Pb 2.536 3.533 7.351
Pb 2.536 0.000 0.000
Pb 2.536 0.000 3.849
Pb 2.536 -3.533 0.347
Pb 2.536 -3.533 3.502
Pb 2.536 -8.412 5.774
```



<b>
This record from Alexandria via LeMat-Bulk describes crystalline BaAgPb4 at its relaxed geometry. The functional is PBE-GGA.

- Size of the total moment: 0.000 μB/atom
- Theoretical density: 8.88 g cm⁻³

Cell and atoms, written as extended XYZ:
```
6
Lattice="0.000 4.648 4.648 4.648 0.000 4.648 4.648 4.648 0.000" Properties=species:S:1:pos:R:3 pbc="T T T"
Ba 0.000 0.000 0.000
Ag 2.324 2.324 2.324
Pb 5.812 3.484 3.484
Pb 3.484 5.812 3.484
Pb 3.484 3.484 5.812
Pb 5.812 5.812 5.812
```



<a> wins, 166 meV per atom ahead of the next structure.



<a>
This record from Alexandria via LeMat-Bulk describes crystalline Ba2Ag3Pb at its relaxed geometry. The functional is PBE-GGA.

- Size of the total moment: 0.000 μB/atom
- Theoretical density: 6.78 g cm⁻³

Cell and atoms, written as extended XYZ:
```
12
Lattice="0.000 4.940 8.650 4.620 0.000 8.650 4.620 4.940 0.000" Properties=species:S:1:pos:R:3 pbc="T T T"
Ba 6.997 4.940 8.650
Ba 2.310 2.470 4.325
Ba 6.930 7.410 12.975
Ba 2.242 4.940 8.650
Ag 4.620 4.940 2.837
Ag 4.620 2.437 7.245
Ag 4.620 2.437 10.055
Ag 4.620 7.443 7.245
Ag 4.620 7.443 10.055
Ag 4.620 4.940 14.463
Pb 4.620 4.940 5.783
Pb 4.620 4.940 11.516
```



<b>
This record from Alexandria via LeMat-Bulk describes crystalline Ba2Ag3Pb at its relaxed geometry. The functional is PBE-GGA.

- Size of the total moment: 0.000 μB/atom
- Theoretical density: 6.71 g cm⁻³

Cell and atoms, written as extended XYZ:
```
6
Lattice="-2.386 2.400 8.706 2.386 -2.400 8.706 2.386 2.400 -8.706" Properties=species:S:1:pos:R:3 pbc="T T T"
Ba 0.000 0.000 0.000
Ba 0.000 2.400 4.181
Ag 2.386 0.000 2.809
Ag 2.386 0.000 5.605
Ag 0.000 0.000 10.076
Pb 0.000 0.000 7.095
```



<a> wins, 10 meV per atom ahead of the next structure.



<a>
This record from Alexandria via LeMat-Bulk describes crystalline Ba3AgPb at its relaxed geometry. The functional is PBE-GGA.

- Size of the total moment: 0.000 μB/atom
- Theoretical density: 5.19 g cm⁻³

Cell and atoms, written as extended XYZ:
```
10
Lattice="5.723 -8.601 0.000 5.723 8.601 0.000 0.000 0.000 4.725" Properties=species:S:1:pos:R:3 pbc="T T T"
Ba 5.723 5.935 0.000
Ba 3.573 1.912 2.362
Ba 3.573 -1.912 2.362
Ba 7.872 1.912 2.362
Ba 7.872 -1.912 2.362
Ba 5.723 -5.935 0.000
Ag 2.861 4.300 0.000
Ag 2.861 -4.300 0.000
Pb 0.000 0.000 2.362
Pb 5.723 0.000 0.000
```



<b>
This record from Alexandria via LeMat-Bulk describes crystalline Ba3AgPb at its relaxed geometry. The functional is PBE-GGA.

- Size of the total moment: 0.000 μB/atom
- Theoretical density: 4.87 g cm⁻³

Cell and atoms, written as extended XYZ:
```
5
Lattice="6.283 0.000 0.000 0.000 6.283 0.000 0.000 0.000 6.283" Properties=species:S:1:pos:R:3 pbc="T T T"
Ba 0.000 0.000 3.142
Ba 0.000 3.142 0.000
Ba 3.142 0.000 0.000
Ag 0.000 0.000 0.000
Pb 3.142 3.142 3.142
```



<a> wins, 176 meV per atom ahead of the next structure.